# 1
TcSbSe2: optimized geometry, PBE-GGA. Values from VASP.

**E_form (uncorrected)**: -37 meV per atom
**Crystal system**: trigonal

Geometry as Quantum ESPRESSO input:
```
&SYSTEM
  ibrav = 0, nat = 4, ntyp = 3
/
ATOMIC_SPECIES
Tc 98.00 Tc.upf
Sb 121.76 Sb.upf
Se 78.96 Se.upf
CELL_PARAMETERS angstrom
1.767 1.020 8.856
-1.767 1.020 8.856
0.000 -2.040 8.856
ATOMIC_POSITIONS angstrom
Tc 0.000 0.000 0.000
Sb 0.000 0.000 13.284
Se 0.000 0.000 10.373
Se 0.000 0.000 16.195
```

---

# 2
Ac2NdAu2: optimized geometry, PBE-GGA. Values from VASP.

**Energy of formation from the pure elements**: -0.538 eV per atom
**Energy relative to the lowest polymorph listed for this composition**: 76 meV per atom
**Crystal system**: orthorhombic

Geometry as Quantum ESPRESSO input:
```
&SYSTEM
  ibrav = 0, nat = 10, ntyp = 3
/
ATOMIC_SPECIES
Ac 227.00 Ac.upf
Nd 144.24 Nd.upf
Au 196.97 Au.upf
CELL_PARAMETERS angstrom
-4.304 5.972 3.337
4.304 -5.972 3.337
4.304 5.972 -3.337
ATOMIC_POSITIONS angstrom
Ac 1.229 1.845 0.000
Ac 5.532 4.127 0.000
Ac -1.229 1.845 3.337
Ac 3.075 4.127 3.337
Nd 4.304 0.000 1.668
Nd 0.000 5.972 1.668
Au 6.674 1.254 0.000
Au 2.370 4.718 0.000
Au 1.934 1.254 3.337
Au -2.370 4.718 3.337
```

---

# 3
Sm6Ni2HBr3: optimized geometry, PBE-GGA. Values from VASP.

**Crystal system**: monoclinic

Geometry as Quantum ESPRESSO input:
```
&SYSTEM
  ibrav = 0, nat = 12, ntyp = 4
/
ATOMIC_SPECIES
Sm 150.36 Sm.upf
Ni 58.69 Ni.upf
H 1.01 H.upf
Br 79.90 Br.upf
CELL_PARAMETERS angstrom
3.451 -5.991 0.000
3.451 5.991 0.000
-2.299 0.000 7.525
ATOMIC_POSITIONS angstrom
Sm -0.021 2.030 6.069
Sm 1.113 0.000 1.432
Sm -0.021 -2.030 6.069
Sm 4.624 2.030 1.455
Sm 3.490 0.000 6.093
Sm 4.624 -2.030 1.455
Ni 3.451 3.987 0.000
Ni 3.451 -3.987 0.000
H 3.451 0.000 0.000
Br -1.150 0.000 3.762
Br 2.302 2.000 3.762
Br 2.302 -2.000 3.762
```

---

# 4
RbBaNb: optimized geometry, PBE-GGA. Values from VASP.

**Energy of formation from the pure elements**: 0.836 eV per atom
**Energy relative to the lowest polymorph listed for this composition**: 380 meV per atom
**Crystal system**: orthorhombic

Geometry as Quantum ESPRESSO input:
```
&SYSTEM
  ibrav = 0, nat = 12, ntyp = 3
/
ATOMIC_SPECIES
Rb 85.47 Rb.upf
Ba 137.33 Ba.upf
Nb 92.91 Nb.upf
CELL_PARAMETERS angstrom
10.804 0.000 0.000
0.000 4.199 0.000
0.000 0.000 13.924
ATOMIC_POSITIONS angstrom
Rb 2.006 1.050 0.263
Rb 3.396 3.149 7.224
Rb 7.408 1.050 6.699
Rb 8.799 3.149 13.661
Ba 0.520 1.050 10.010
Ba 4.882 3.149 3.049
Ba 5.922 1.050 10.875
Ba 10.284 3.149 3.913
Nb 0.418 1.050 6.409
Nb 4.984 3.149 13.371
Nb 5.820 1.050 0.553
Nb 10.386 3.149 7.514
```

---

# 5
ZnSb2S: optimized geometry, PBE-GGA. Values from VASP.

**E_form (uncorrected)**: 293 meV per atom
**Crystal system**: cubic

Geometry as Quantum ESPRESSO input:
```
&SYSTEM
  ibrav = 0, nat = 4, ntyp = 3
/
ATOMIC_SPECIES
Zn 65.41 Zn.upf
Sb 121.76 Sb.upf
S 32.06 S.upf
CELL_PARAMETERS angstrom
0.000 3.515 3.515
3.515 0.000 3.515
3.515 3.515 0.000
ATOMIC_POSITIONS angstrom
Zn 0.000 0.000 0.000
Sb 1.758 1.758 1.758
Sb 5.273 5.273 5.273
S 3.515 3.515 3.515
```

---

# 6
La2BeAgSe: optimized geometry, PBE-GGA. Values from VASP.

**E_form (uncorrected)**: -270 meV per atom
**Crystal system**: tetragonal

Geometry as Quantum ESPRESSO input:
```
&SYSTEM
  ibrav = 0, nat = 5, ntyp = 4
/
ATOMIC_SPECIES
La 138.91 La.upf
Be 9.01 Be.upf
Ag 107.87 Ag.upf
Se 78.96 Se.upf
CELL_PARAMETERS angstrom
5.758 0.000 0.000
0.000 5.758 0.000
0.000 0.000 4.151
ATOMIC_POSITIONS angstrom
La 0.000 2.879 0.000
La 2.879 0.000 0.000
Be 0.000 0.000 2.075
Ag 2.879 2.879 2.075
Se 0.000 0.000 0.000
```

---

Number 1: M_tot 1.93 μB per cell, volume 23.94 Å³/atom, VASP energy -5.4013 eV/atom. Number 2: M_tot 0.00 μB per cell, volume 34.30 Å³/atom, VASP energy -4.4460 eV/atom. Number 3: M_tot 0.00 μB per cell, volume 25.93 Å³/atom, VASP energy -4.7753 eV/atom. Number 4: M_tot 0.00 μB per cell, volume 52.64 Å³/atom, VASP energy -3.4843 eV/atom. Number 5: M_tot 0.00 μB per cell, volume 21.72 Å³/atom, VASP energy -3.1185 eV/atom. Number 6: M_tot 0.00 μB per cell, volume 27.52 Å³/atom, VASP energy -4.2538 eV/atom.